# 1
Computed, not measured: Ag2AsAu after structural relaxation at the PBE level of DFT.

## Properties
Energy: -3.239 eV per atom
SG: F-43m, No. 216

abc: 4.679 4.679 4.679
angles: 60.00 60.00 60.00
Element x y z (fractional)
Ag1 0.000 0.000 0.000
Ag2 0.250 0.250 0.250
As1 0.500 0.500 0.500
Au1 0.750 0.750 0.750

# 2
Computed, not measured: AgAs2Au after structural relaxation at the PBE level of DFT.

## Properties
Energy: -3.558 eV per atom
SG: F-43m, No. 216

abc: 4.763 4.763 4.763
angles: 60.00 60.00 60.00
Element x y z (fractional)
Ag1 0.000 0.000 0.000
As1 0.250 0.250 0.250
As2 0.500 0.500 0.500
Au1 0.750 0.750 0.750

# 3
Computed, not measured: Cs4AgAs2Au after structural relaxation at the PBE level of DFT.

## Properties
Energy: -2.783 eV per atom
SG: C2/m, No. 12

abc: 6.885 6.885 6.784
angles: 90.06 90.06 108.88
Element x y z (fractional)
Cs1 0.017 0.676 0.752
Cs2 0.324 0.983 0.248
Cs3 0.676 0.017 0.752
Cs4 0.983 0.324 0.248
Ag1 0.500 0.500 0.500
As1 0.262 0.262 0.752
As2 0.738 0.738 0.248
Au1 0.500 0.500 0.000